Version one
## BaCaW2 (PBE)

Data for crystalline BaCaW2 at its relaxed geometry.

a = 11.1683 Å, b = 3.7711 Å, c = 6.8675 Å
α = 90.00°, β = 117.26°, γ = 90.00°
Last column: nearest neighbours and their distance in Å.
Fractional coordinates of all 8 atoms:
Ba 0.0000 0.0000 0.0000  4 W 3.39, 2 Ba 3.77
Ba 0.5000 0.5000 0.0000  4 W 3.39, 2 Ba 3.77
Ca 0.0000 0.5000 0.5000  6 W 3.17-3.21
Ca 0.5000 0.0000 0.5000  6 W 3.17-3.21
W 0.2478 0.5000 0.3842  2 W 2.45
W 0.2522 0.0000 0.6158  2 W 2.45
W 0.7478 0.0000 0.3842  2 W 2.45
W 0.7522 0.5000 0.6158  2 W 2.45

Properties
* magnetic moment: 0.0 μB per formula unit
* mass density: 7.0 g/cm3

***

Version two
## BaCaW2 (PBE)

Data for crystalline BaCaW2 at its relaxed geometry.

a = 5.7564 Å, b = 10.9840 Å, c = 2.9237 Å
α = 90.00°, β = 97.38°, γ = 90.00°
Last column: nearest neighbours and their distance in Å.
Fractional coordinates of all 8 atoms:
Ba 0.0000 0.0000 0.0000  2 Ca 2.88, 2 Ba 2.92
Ba 0.5000 0.5000 0.0000  2 Ca 2.88, 2 Ba 2.92
Ca 0.0000 0.5000 0.0000  2 Ba 2.88, 2 Ca 2.92
Ca 0.5000 0.0000 0.0000  2 Ba 2.88, 2 Ca 2.92
W 0.2500 0.2500 0.5000  4 W 2.88-2.92
W 0.2500 0.7500 0.5000  4 W 2.88-2.92
W 0.7500 0.2500 0.5000  4 W 2.88-2.92
W 0.7500 0.7500 0.5000  4 W 2.88-2.92

Properties
* magnetic moment: 0.0 μB per formula unit
* mass density: 9.9 g/cm3

***

Of them, version two has the lowest stability.

***

Version one
## BaCaY2 (PBE)

Data for crystalline BaCaY2 at its relaxed geometry.

a = 6.0351 Å, b = 6.0351 Å, c = 4.3074 Å
α = 90.00°, β = 90.00°, γ = 90.00°
Last column: nearest neighbours and their distance in Å.
Fractional coordinates of all 4 atoms:
Ba 0.0000 0.0000 0.0000  8 Y 3.71
Ca 0.5000 0.5000 0.0000  8 Y 3.71
Y 0.0000 0.5000 0.5000  4 Ba 3.71, 4 Ca 3.71
Y 0.5000 0.0000 0.5000  4 Ba 3.71, 4 Ca 3.71

Properties
* magnetic moment: 0.0 μB per formula unit
* mass density: 3.8 g/cm3

***

Version two
## BaCaY2 (PBE)

Data for crystalline BaCaY2 at its relaxed geometry.

a = 5.2997 Å, b = 5.2997 Å, c = 11.2959 Å
α = 90.00°, β = 90.00°, γ = 90.00°
Last column: nearest neighbours and their distance in Å.
Fractional coordinates of all 8 atoms:
Ba 0.0000 0.0000 0.0000  4 Ca 3.75, 8 Y 3.87
Ba 0.5000 0.5000 0.5000  4 Ca 3.75, 8 Y 3.87
Ca 0.0000 0.0000 0.5000  4 Ba 3.75, 8 Y 3.87
Ca 0.5000 0.5000 0.0000  4 Ba 3.75, 8 Y 3.87
Y 0.0000 0.5000 0.2500  4 Y 3.75, 4 Ba 3.87, 4 Ca 3.87
Y 0.0000 0.5000 0.7500  4 Y 3.75, 4 Ba 3.87, 4 Ca 3.87
Y 0.5000 0.0000 0.2500  4 Y 3.75, 4 Ba 3.87, 4 Ca 3.87
Y 0.5000 0.0000 0.7500  4 Y 3.75, 4 Ba 3.87, 4 Ca 3.87

Properties
* magnetic moment: 1.3 μB per formula unit
* mass density: 3.7 g/cm3

***

Version three
## BaCaY2 (PBE)

Data for crystalline BaCaY2 at its relaxed geometry.

a = 12.5620 Å, b = 3.7818 Å, c = 6.7371 Å
α = 90.00°, β = 100.32°, γ = 90.00°
Last column: nearest neighbours and their distance in Å.
Fractional coordinates of all 8 atoms:
Ba 0.0000 0.0000 0.0000  7 Y 3.75-3.98, 3 Ca 3.77-3.92, 2 Ba 3.78
Ba 0.5000 0.5000 0.0000  7 Y 3.75-3.98, 3 Ca 3.77-3.92, 2 Ba 3.78
Ca 0.2401 0.0000 0.7355  7 Y 3.70-4.04, 3 Ba 3.77-3.92, 2 Ca 3.78
Ca 0.7401 0.5000 0.7355  7 Y 3.70-4.04, 3 Ba 3.77-3.92, 2 Ca 3.78
Y 0.2554 0.5000 0.2699  5 Y 3.55-3.86, 2 Ca 3.70, 3 Ba 3.84-3.88
Y 0.4883 0.0000 0.4770  5 Y 3.55-3.86, 4 Ba 3.75-3.98, 3 Ca 3.83
Y 0.7554 0.0000 0.2699  5 Y 3.55-3.86, 2 Ca 3.70, 3 Ba 3.84-3.88
Y 0.9883 0.5000 0.4770  5 Y 3.55-3.86, 4 Ba 3.75-3.98, 3 Ca 3.83

Properties
* magnetic moment: 0.0 μB per formula unit
* mass density: 3.7 g/cm3

***

Version four
## BaCaY2 (PBE)

Data for crystalline BaCaY2 at its relaxed geometry.

a = 4.1201 Å, b = 6.2314 Å, c = 12.3471 Å
α = 90.00°, β = 90.00°, γ = 90.00°
Last column: nearest neighbours and their distance in Å.
Fractional coordinates of all 8 atoms:
Ba 0.0000 0.0000 0.0000  6 Y 3.74-3.90, 2 Ca 3.84, 2 Ba 4.12
Ba 0.5000 0.5000 0.5000  6 Y 3.74-3.90, 2 Ca 3.84, 2 Ba 4.12
Ca 0.0000 0.5000 0.7629  6 Y 3.61-3.76, 2 Ba 3.84
Ca 0.5000 0.0000 0.2629  6 Y 3.61-3.76, 2 Ba 3.84
Y 0.0000 0.0000 0.5030  2 Y 3.49, 2 Ca 3.61, 4 Ba 3.74
Y 0.0000 0.5000 0.2315  2 Y 3.49, 4 Ca 3.76, 2 Ba 3.90
Y 0.5000 0.0000 0.7315  2 Y 3.49, 4 Ca 3.76, 2 Ba 3.90
Y 0.5000 0.5000 0.0030  2 Y 3.49, 2 Ca 3.61, 4 Ba 3.74

Properties
* magnetic moment: 0.0 μB per formula unit
* mass density: 3.7 g/cm3

***

Of them, version one has the lowest stability.

***

Version one
## BaCaY2 (PBE)

Data for crystalline BaCaY2 at its relaxed geometry.

a = 8.5648 Å, b = 8.5648 Å, c = 8.5648 Å
α = 90.00°, β = 90.00°, γ = 90.00°
Last column: nearest neighbours and their distance in Å.
Fractional coordinates of all 16 atoms:
Ba 0.0000 0.0000 0.0000  8 Y 3.71
Ba 0.0000 0.5000 0.5000  8 Y 3.71
Ba 0.5000 0.0000 0.5000  8 Y 3.71
Ba 0.5000 0.5000 0.0000  8 Y 3.71
Ca 0.0000 0.0000 0.5000  8 Y 3.71
Ca 0.0000 0.5000 0.0000  8 Y 3.71
Ca 0.5000 0.0000 0.0000  8 Y 3.71
Ca 0.5000 0.5000 0.5000  8 Y 3.71
Y 0.2500 0.2500 0.2500  4 Ba 3.71, 4 Ca 3.71
Y 0.2500 0.2500 0.7500  4 Ba 3.71, 4 Ca 3.71
Y 0.2500 0.7500 0.2500  4 Ba 3.71, 4 Ca 3.71
Y 0.2500 0.7500 0.7500  4 Ba 3.71, 4 Ca 3.71
Y 0.7500 0.2500 0.2500  4 Ba 3.71, 4 Ca 3.71
Y 0.7500 0.2500 0.7500  4 Ba 3.71, 4 Ca 3.71
Y 0.7500 0.7500 0.2500  4 Ba 3.71, 4 Ca 3.71
Y 0.7500 0.7500 0.7500  4 Ba 3.71, 4 Ca 3.71

Properties
* magnetic moment: 0.0 μB per formula unit
* mass density: 3.8 g/cm3

***

Version two
## BaCaY2 (PBE)

Data for crystalline BaCaY2 at its relaxed geometry.

a = 3.6476 Å, b = 6.1694 Å, c = 7.1279 Å
α = 90.00°, β = 100.59°, γ = 90.00°
Last column: nearest neighbours and their distance in Å.
Fractional coordinates of all 4 atoms:
Ba 0.0000 0.0000 0.0000  2 Ba 3.65, 2 Ca 3.69, 4 Y 3.91
Ca 0.5000 0.0000 0.5000  4 Y 3.62, 2 Ca 3.65, 2 Ba 3.69
Y 0.2943 0.5000 0.7260  5 Y 3.53-3.92, 2 Ca 3.62, 2 Ba 3.91
Y 0.7057 0.5000 0.2740  5 Y 3.53-3.92, 2 Ca 3.62, 2 Ba 3.91

Properties
* magnetic moment: 0.3 μB per formula unit
* mass density: 3.7 g/cm3

***

Of them, version one has the lowest stability.

***

Version one
## BaCaY2 (PBE)

Data for crystalline BaCaY2 at its relaxed geometry.

a = 4.1177 Å, b = 6.0737 Å, c = 12.5188 Å
α = 90.00°, β = 90.00°, γ = 90.00°
Last column: nearest neighbours and their distance in Å.
Fractional coordinates of all 8 atoms:
Ba 0.0000 0.0000 0.0000  4 Ba 3.67, 4 Y 3.88
Ba 0.5000 0.5000 0.0000  4 Ba 3.67, 4 Y 3.88
Ca 0.0000 0.0000 0.5000  4 Y 3.61, 4 Ca 3.67
Ca 0.5000 0.5000 0.5000  4 Y 3.61, 4 Ca 3.67
Y 0.0000 0.5000 0.2629  2 Ca 3.61, 4 Y 3.67, 2 Ba 3.88
Y 0.0000 0.5000 0.7371  2 Ca 3.61, 4 Y 3.67, 2 Ba 3.88
Y 0.5000 0.0000 0.2629  2 Ca 3.61, 4 Y 3.67, 2 Ba 3.88
Y 0.5000 0.0000 0.7371  2 Ca 3.61, 4 Y 3.67, 2 Ba 3.88

Properties
* magnetic moment: 0.0 μB per formula unit
* mass density: 3.8 g/cm3

***

Version two
## BaCaY2 (PBE)

Data for crystalline BaCaY2 at its relaxed geometry.

a = 9.4497 Å, b = 9.4497 Å, c = 7.0659 Å
α = 90.00°, β = 90.00°, γ = 90.00°
Last column: nearest neighbours and their distance in Å.
Fractional coordinates of all 16 atoms:
Ba 0.0000 0.0000 0.0000  4 Y 3.48, 2 Ca 3.53
Ba 0.0000 0.5000 0.2500  4 Y 3.48, 2 Ca 3.53
Ba 0.5000 0.0000 0.7500  4 Y 3.48, 2 Ca 3.53
Ba 0.5000 0.5000 0.5000  4 Y 3.48, 2 Ca 3.53
Ca 0.0000 0.0000 0.5000  4 Y 3.44, 2 Ba 3.53
Ca 0.0000 0.5000 0.7500  4 Y 3.44, 2 Ba 3.53
Ca 0.5000 0.0000 0.2500  4 Y 3.44, 2 Ba 3.53
Ca 0.5000 0.5000 0.0000  4 Y 3.44, 2 Ba 3.53
Y 0.2470 0.2500 0.6250  2 Ca 3.44, 2 Ba 3.48, 2 Y 3.53
Y 0.2500 0.7470 0.8750  2 Ca 3.44, 2 Ba 3.48, 2 Y 3.53
Y 0.2500 0.7530 0.3750  2 Ca 3.44, 2 Ba 3.48, 2 Y 3.53
Y 0.2530 0.2500 0.1250  2 Ca 3.44, 2 Ba 3.48, 2 Y 3.53
Y 0.7470 0.7500 0.1250  2 Ca 3.44, 2 Ba 3.48, 2 Y 3.53
Y 0.7500 0.2470 0.3750  2 Ca 3.44, 2 Ba 3.48, 2 Y 3.53
Y 0.7500 0.2530 0.8750  2 Ca 3.44, 2 Ba 3.48, 2 Y 3.53
Y 0.7530 0.7500 0.6250  2 Ca 3.44, 2 Ba 3.48, 2 Y 3.53

Properties
* magnetic moment: 0.9 μB per formula unit
* mass density: 3.7 g/cm3

***

Version three
## BaCaY2 (PBE)

Data for crystalline BaCaY2 at its relaxed geometry.

a = 3.7794 Å, b = 3.7794 Å, c = 37.7011 Å
α = 90.00°, β = 90.00°, γ = 120.00°
Last column: nearest neighbours and their distance in Å.
Fractional coordinates of all 12 atoms:
Ba 0.0000 0.0000 0.0000  6 Ba 3.78, 6 Y 3.93
Ba 0.3333 0.6667 0.6667  6 Ba 3.78, 6 Y 3.93
Ba 0.6667 0.3333 0.3333  6 Ba 3.78, 6 Y 3.93
Ca 0.0000 0.0000 0.5000  6 Y 3.72, 6 Ca 3.78
Ca 0.3333 0.6667 0.1667  6 Y 3.72, 6 Ca 3.78
Ca 0.6667 0.3333 0.8333  6 Y 3.72, 6 Ca 3.78
Y 0.0000 0.0000 0.2467  3 Ca 3.72, 6 Y 3.78, 3 Ba 3.93
Y 0.0000 0.0000 0.7533  3 Ca 3.72, 6 Y 3.78, 3 Ba 3.93
Y 0.3333 0.6667 0.4200  3 Ca 3.72, 6 Y 3.78, 3 Ba 3.93
Y 0.3333 0.6667 0.9133  3 Ca 3.72, 6 Y 3.78, 3 Ba 3.93
Y 0.6667 0.3333 0.0867  3 Ca 3.72, 6 Y 3.78, 3 Ba 3.93
Y 0.6667 0.3333 0.5800  3 Ca 3.72, 6 Y 3.78, 3 Ba 3.93

Properties
* magnetic moment: 0.0 μB per formula unit
* mass density: 3.8 g/cm3

***

Version four
## BaCaY2 (PBE)

Data for crystalline BaCaY2 at its relaxed geometry.

a = 3.8468 Å, b = 3.8468 Å, c = 10.9228 Å
α = 90.00°, β = 90.00°, γ = 90.00°
Last column: nearest neighbours and their distance in Å.
Fractional coordinates of all 4 atoms:
Ba 0.0000 0.0000 0.0000  4 Ba 3.85, 4 Y 4.01, 4 Ca 4.22
Ca 0.5000 0.5000 0.2959  4 Y 3.73, 4 Ca 3.85
Y 0.0000 0.0000 0.5299  8 Y 3.49-3.85, 4 Ca 3.73
Y 0.5000 0.5000 0.7303  8 Y 3.49-3.85

Properties
* magnetic moment: 0.0 μB per formula unit
* mass density: 3.6 g/cm3

***

Of them, version two has the lowest stability.